Arrangement P

A relaxed Cs2CuHg crystal, computed with GGA-PBE.

Calculated values
- N(E_F) (states/eV/f.u.) = 2.9

Structure (extended XYZ):
```
4
Lattice="0.000 4.515 4.515 4.515 0.000 4.515 4.515 4.515 0.000" Properties=species:S:1:pos:R:3 pbc="T T T"
Cs 6.773 6.773 6.773
Cs 2.258 2.258 2.258
Cu 0.000 0.000 0.000
Hg 4.515 4.515 4.515
```

Arrangement Q

A relaxed Cs2CuHg crystal, computed with GGA-PBE.

Calculated values
- N(E_F) (states/eV/f.u.) = 3.7

Structure (extended XYZ):
```
8
Lattice="10.022 0.000 0.000 0.000 10.022 0.000 5.011 5.011 4.196" Properties=species:S:1:pos:R:3 pbc="T T T"
Cs 7.223 2.506 1.049
Cs 2.799 7.517 1.049
Cs 7.517 7.810 3.147
Cs 12.528 12.234 3.147
Hg 0.000 0.000 0.000
Hg 10.022 5.011 2.098
Cu 5.011 10.022 2.098
Cu 5.011 5.011 0.000
```

Most stable: arrangement P. Least stable: arrangement Q.

Arrangement P

A relaxed CsCu2Hg2 crystal, computed with GGA-PBE.

Calculated values
- N(E_F) (states/eV/f.u.) = 1.7

Structure (extended XYZ):
```
5
Lattice="5.058 0.000 0.000 0.000 5.058 0.000 2.529 2.529 5.981" Properties=species:S:1:pos:R:3 pbc="T T T"
Cu 2.529 5.058 2.991
Cu 5.058 2.529 2.991
Hg 2.529 2.529 2.196
Hg 5.058 5.058 3.785
Cs 0.000 0.000 0.000
```

Arrangement Q

A relaxed CsCu2Hg2 crystal, computed with GGA-PBE.

Calculated values
- N(E_F) (states/eV/f.u.) = 1.3

Structure (extended XYZ):
```
5
Lattice="-0.822 4.098 2.724 1.296 -2.484 4.128 5.324 2.294 2.725" Properties=species:S:1:pos:R:3 pbc="T T T"
Hg 2.369 3.600 4.438
Hg 3.428 0.308 5.140
Cu 1.421 1.153 3.263
Cu 4.376 2.755 6.314
Cs 0.000 0.000 0.000
```

Most stable: arrangement P. Least stable: arrangement Q.

Arrangement P

A relaxed CsCu3Hg crystal, computed with GGA-PBE.

Calculated values
- N(E_F) (states/eV/f.u.) = 4.9

Structure (extended XYZ):
```
5
Lattice="5.775 0.000 0.000 0.000 5.775 0.000 0.000 0.000 5.775" Properties=species:S:1:pos:R:3 pbc="T T T"
Cu 0.000 0.000 2.887
Cu 0.000 2.887 0.000
Cu 2.887 0.000 0.000
Hg 2.887 2.887 2.887
Cs 0.000 0.000 0.000
```

Arrangement Q

A relaxed CsCu3Hg crystal, computed with GGA-PBE.

Calculated values
- N(E_F) (states/eV/f.u.) = 1.3

Structure (extended XYZ):
```
5
Lattice="5.131 0.000 0.000 0.000 5.131 0.000 0.000 0.000 5.131" Properties=species:S:1:pos:R:3 pbc="T T T"
Cu 0.000 0.000 2.565
Cu 0.000 2.565 0.000
Cu 2.565 0.000 0.000
Hg 0.000 0.000 0.000
Cs 2.565 2.565 2.565
```

Most stable: arrangement Q. Least stable: arrangement P.

Arrangement P

A relaxed Cs2CuHg2 crystal, computed with GGA-PBE.

Calculated values
- N(E_F) (states/eV/f.u.) = 1.8

Structure (extended XYZ):
```
5
Lattice="-3.684 3.684 4.075 3.684 -3.684 4.075 3.684 3.684 -4.075" Properties=species:S:1:pos:R:3 pbc="T T T"
Hg 0.000 0.000 5.540
Hg 0.000 0.000 2.610
Cs 3.684 0.000 2.038
Cs 0.000 3.684 2.038
Cu 0.000 0.000 0.000
```

Arrangement Q

A relaxed Cs2CuHg2 crystal, computed with GGA-PBE.

Calculated values
- N(E_F) (states/eV/f.u.) = 2.5

Structure (extended XYZ):
```
10
Lattice="8.156 0.000 0.000 0.000 8.156 0.000 0.000 0.000 5.894" Properties=species:S:1:pos:R:3 pbc="T T T"
Cu 0.000 0.000 0.000
Cu 4.078 4.078 0.000
Cs 6.708 2.630 2.947
Cs 1.448 5.526 2.947
Cs 5.526 6.708 2.947
Cs 2.630 1.448 2.947
Hg 5.229 1.151 0.000
Hg 7.005 5.229 0.000
Hg 1.151 2.927 0.000
Hg 2.927 7.005 0.000
```

Most stable: arrangement P. Least stable: arrangement Q.

Arrangement P

A relaxed Cs2CuHgO crystal, computed with GGA-PBE.

Calculated values
- N(E_F) (states/eV/f.u.) = 1.4

Structure (extended XYZ):
```
5
Lattice="6.573 0.000 0.000 0.000 6.573 0.000 0.000 0.000 3.699" Properties=species:S:1:pos:R:3 pbc="T T T"
Cu 0.000 0.000 1.849
Cs 0.000 3.287 0.000
Cs 3.287 0.000 0.000
Hg 3.287 3.287 1.849
O 0.000 0.000 0.000
```

Arrangement Q

A relaxed Cs2CuHgO crystal, computed with GGA-PBE.

Calculated values
- N(E_F) (states/eV/f.u.) = 2.1

Structure (extended XYZ):
```
5
Lattice="6.854 0.000 0.000 0.000 3.645 0.000 0.000 0.000 6.854" Properties=species:S:1:pos:R:3 pbc="T T T"
O 0.000 1.823 0.000
Hg 3.427 1.823 3.427
Cs 0.000 0.000 3.427
Cs 3.427 0.000 0.000
Cu 0.000 0.000 0.000
```

Most stable: arrangement P. Least stable: arrangement Q.

Arrangement P

A relaxed CsCuSnHg2 crystal, computed with GGA-PBE.

Calculated values
- N(E_F) (states/eV/f.u.) = 2.3

Structure (extended XYZ):
```
5
Lattice="-4.751 -2.775 0.438 2.608 -4.675 -1.343 0.974 -0.884 4.967" Properties=species:S:1:pos:R:3 pbc="T T T"
Sn 0.487 -0.442 2.483
Hg -2.375 -1.388 0.219
Hg 1.304 -2.338 -0.672
Cu 0.000 0.000 0.000
Cs -0.585 -4.167 2.031
```

Arrangement Q

A relaxed CsCuSnHg2 crystal, computed with GGA-PBE.

Calculated values
- N(E_F) (states/eV/f.u.) = 4.2

Structure (extended XYZ):
```
5
Lattice="-5.504 1.393 -2.094 -1.604 -5.825 0.343 -1.608 0.720 4.707" Properties=species:S:1:pos:R:3 pbc="T T T"
Hg -2.752 0.696 -1.047
Hg -0.802 -2.912 0.171
Cs -4.358 -1.856 1.478
Sn 0.000 0.000 0.000
Cu -0.804 0.360 2.354
```

Most stable: arrangement P. Least stable: arrangement Q.

Arrangement P

A relaxed CsCuHgTe2 crystal, computed with GGA-PBE.

Calculated values
- N(E_F) (states/eV/f.u.) = 0.3

Structure (extended XYZ):
```
10
Lattice="-1.204 2.187 3.897 -0.678 -7.639 1.330 10.409 1.378 2.442" Properties=species:S:1:pos:R:3 pbc="T T T"
Cu 8.721 -3.123 4.447
Cu -0.195 -0.951 3.222
Cs 6.059 -0.118 4.686
Cs 2.468 -3.955 2.983
Te -1.026 -3.443 4.364
Te 2.300 -0.081 3.504
Te 9.553 -0.631 3.305
Te 6.226 -3.992 4.165
Hg 1.921 -0.103 0.651
Hg 6.606 -3.970 7.018
```

Arrangement Q

A relaxed CsCuHgTe2 crystal, computed with GGA-PBE.

Calculated values
- N(E_F) (states/eV/f.u.) = 2.4

Structure (extended XYZ):
```
5
Lattice="-4.770 -2.224 -0.221 1.579 -3.722 3.377 -1.821 3.443 4.647" Properties=species:S:1:pos:R:3 pbc="T T T"
Cu 0.000 0.000 0.000
Cs -2.506 -1.252 3.901
Te 0.790 -1.861 1.688
Te -2.385 -1.112 -0.111
Hg -0.910 1.721 2.323
```

Most stable: arrangement P. Least stable: arrangement Q.

Arrangement P

A relaxed Cs2TlCuHg crystal, computed with GGA-PBE.

Calculated values
- N(E_F) (states/eV/f.u.) = 4.9

Structure (extended XYZ):
```
5
Lattice="-2.950 0.631 -6.306 -3.739 -5.789 1.170 -3.720 2.812 2.022" Properties=species:S:1:pos:R:3 pbc="T T T"
Cs -1.475 0.315 -3.153
Cs -1.870 -2.895 0.585
Hg -5.205 -1.174 -1.557
Tl -1.860 1.406 1.011
Cu 0.000 0.000 0.000
```

Arrangement Q

A relaxed Cs2TlCuHg crystal, computed with GGA-PBE.

Calculated values
- N(E_F) (states/eV/f.u.) = 4.3

Structure (extended XYZ):
```
5
Lattice="7.343 0.000 0.000 0.000 5.730 0.000 0.000 0.000 7.343" Properties=species:S:1:pos:R:3 pbc="T T T"
Cs 3.671 0.000 0.000
Cs 0.000 0.000 3.671
Cu 3.671 2.865 3.671
Hg 0.000 2.865 0.000
Tl 0.000 0.000 0.000
```

Most stable: arrangement P. Least stable: arrangement Q.

Arrangement P

A relaxed CsCu3I crystal, computed with GGA-PBE.

Calculated values
- N(E_F) (states/eV/f.u.) = 2.8

Structure (extended XYZ):
```
5
Lattice="-1.412 0.333 -5.210 -4.828 -2.137 1.172 -1.986 4.957 0.855" Properties=species:S:1:pos:R:3 pbc="T T T"
Cu -0.993 2.479 0.427
Cu -0.706 0.166 -2.605
Cu -2.414 -1.068 0.586
Cs -4.113 1.577 -1.592
I 0.000 0.000 0.000
```

Arrangement Q

A relaxed CsCu3I crystal, computed with GGA-PBE.

Calculated values
- N(E_F) (states/eV/f.u.) = 3.3

Structure (extended XYZ):
```
5
Lattice="5.560 0.000 0.000 0.000 5.560 0.000 0.000 0.000 5.560" Properties=species:S:1:pos:R:3 pbc="T T T"
Cu 0.000 0.000 2.780
Cu 2.780 0.000 0.000
Cu 0.000 2.780 0.000
I 2.780 2.780 2.780
Cs 0.000 0.000 0.000
```

Most stable: arrangement P. Least stable: arrangement Q.

Arrangement P

A relaxed CsCuI2 crystal, computed with GGA-PBE.

Calculated values
- N(E_F) (states/eV/f.u.) = 0.0

Structure (extended XYZ):
```
4
Lattice="0.000 4.227 4.227 4.227 0.000 4.227 4.227 4.227 0.000" Properties=species:S:1:pos:R:3 pbc="T T T"
I 6.340 6.340 6.340
I 2.113 2.113 2.113
Cs 4.227 4.227 4.227
Cu 0.000 0.000 0.000
```

Arrangement Q

A relaxed CsCuI2 crystal, computed with GGA-PBE.

Calculated values
- N(E_F) (states/eV/f.u.) = 0.0

Structure (extended XYZ):
```
4
Lattice="-6.241 0.545 0.047 -3.287 -1.189 -5.199 -3.825 -7.831 0.435" Properties=species:S:1:pos:R:3 pbc="T T T"
I -3.628 -5.519 -0.219
I -9.725 -2.956 -4.499
Cu 0.000 0.000 0.000
Cs -6.677 -4.237 -2.359
```

Most stable: arrangement Q. Least stable: arrangement P.

Arrangement P

A relaxed CsCu2I crystal, computed with GGA-PBE.

Calculated values
- N(E_F) (states/eV/f.u.) = 2.6

Structure (extended XYZ):
```
4
Lattice="-0.038 -5.427 -0.060 1.307 -2.772 4.480 -3.829 -2.717 2.723" Properties=species:S:1:pos:R:3 pbc="T T T"
Cu -0.640 -2.729 1.786
Cu -1.920 -8.188 5.357
I 0.000 0.000 0.000
Cs -1.280 -5.458 3.572
```

Arrangement Q

A relaxed CsCu2I crystal, computed with GGA-PBE.

Calculated values
- N(E_F) (states/eV/f.u.) = 1.7

Structure (extended XYZ):
```
8
Lattice="-6.195 5.872 1.783 -6.078 -6.222 -0.627 -5.780 -0.883 4.150" Properties=species:S:1:pos:R:3 pbc="T T T"
Cu -5.490 2.115 1.904
Cu -14.498 -0.379 4.183
Cu -9.513 -1.383 3.487
Cu -6.605 -2.819 1.038
Cs -9.056 2.407 3.255
Cs 0.000 0.000 0.000
I -6.137 -0.175 0.578
I -8.997 -3.640 2.051
```

Most stable: arrangement Q. Least stable: arrangement P.

Arrangement P

A relaxed Cs2CuI3 crystal, computed with GGA-PBE.

Calculated values
- N(E_F) (states/eV/f.u.) = 0.0

Structure (extended XYZ):
```
12
Lattice="10.652 0.802 0.571 2.236 7.615 -0.292 2.236 2.212 7.292" Properties=species:S:1:pos:R:3 pbc="T T T"
I 1.245 1.245 1.483
I 6.571 2.209 0.978
I 8.553 8.419 6.594
I 13.879 9.383 6.089
I 4.899 4.396 4.651
I 10.225 6.232 2.921
Cs 8.520 2.799 4.377
Cs 3.194 4.650 0.930
Cs 11.929 5.978 6.641
Cs 6.603 7.829 3.195
Cu 4.899 2.917 6.727
Cu 10.225 7.711 0.845
```

Arrangement Q

A relaxed Cs2CuI3 crystal, computed with GGA-PBE.

Calculated values
- N(E_F) (states/eV/f.u.) = 0.0

Structure (extended XYZ):
```
24
Lattice="-6.224 -3.993 3.226 6.311 2.733 5.471 -8.883 15.761 2.373" Properties=species:S:1:pos:R:3 pbc="T T T"
I -5.073 10.089 2.702
I 0.527 0.955 2.199
I -6.194 5.363 4.776
I -2.601 9.138 6.293
I -6.320 11.260 6.788
I -5.587 1.245 5.895
I -2.475 3.242 4.282
I -3.723 4.412 8.368
I -10.278 11.806 4.874
I 1.482 2.695 6.196
I -3.208 13.256 5.175
I -9.323 13.546 8.870
Cu -8.966 11.589 7.135
Cu -4.279 10.791 5.102
Cu 0.171 2.913 3.934
Cu -4.516 3.710 5.968
Cs -2.792 -0.640 3.910
Cs -8.551 8.490 4.101
Cs -6.003 15.141 7.160
Cs -2.841 6.966 3.141
Cs -0.244 6.011 6.969
Cs -5.954 7.536 7.929
Cs -1.744 1.154 8.152
Cs -7.051 13.347 2.918
```

Most stable: arrangement P. Least stable: arrangement Q.

Arrangement P

A relaxed Cs2CuI4 crystal, computed with GGA-PBE.

Calculated values
- N(E_F) (states/eV/f.u.) = 6.8

Structure (extended XYZ):
```
14
Lattice="-4.123 -5.360 4.572 6.001 -4.357 0.304 5.086 7.498 7.055" Properties=species:S:1:pos:R:3 pbc="T T T"
I 1.063 -1.073 8.941
I 5.901 -1.146 2.990
I 4.721 0.581 7.382
I 8.769 3.145 7.866
I -0.648 -0.701 4.403
I 2.243 -2.800 4.549
I 7.612 -1.518 7.528
I -1.805 -5.364 4.065
Cs 4.097 -3.270 8.156
Cs 1.758 -6.801 3.741
Cs 5.206 4.582 8.190
Cs 2.867 1.051 3.775
Cu 2.610 1.051 8.833
Cu 4.354 -3.270 3.098
```

Arrangement Q

A relaxed Cs2CuI4 crystal, computed with GGA-PBE.

Calculated values
- N(E_F) (states/eV/f.u.) = 5.1

Structure (extended XYZ):
```
7
Lattice="-5.195 -1.106 -2.309 -2.275 -0.403 5.311 -5.631 8.396 1.383" Properties=species:S:1:pos:R:3 pbc="T T T"
I -2.598 -0.553 -1.155
I -8.029 1.187 2.967
I -5.072 5.700 1.417
I -1.137 -0.201 2.656
Cs -4.266 1.809 1.468
Cs -8.835 5.078 2.917
Cu 0.000 0.000 0.000
```

Most stable: arrangement P. Least stable: arrangement Q.